Entry 1:
# TbSi3Ni8 | Alexandria via LeMat-Bulk | GGA-PBEsol | relaxed
data_TbSi3Ni8
_chemical_formula_sum 'Tb4 Si12 Ni32'
_space_group_name_H-M_alt 'C 1 2/c 1'
_space_group_IT_number 15
_cell_length_a 6.236
_cell_length_b 13.488
_cell_length_c 7.394
_cell_angle_alpha 90.00
_cell_angle_beta 113.64
_cell_angle_gamma 90.00
loop_
_space_group_symop_operation_xyz
'x,y,z'
'-x,-y,-z'
'-x,y,-z+1/2'
'x,-y,z+1/2'
'x+1/2,y+1/2,z'
'-x+1/2,-y+1/2,-z'
'-x+1/2,y+1/2,-z+1/2'
'x+1/2,-y+1/2,z+1/2'
loop_
_atom_site_label
_atom_site_fract_x
_atom_site_fract_y
_atom_site_fract_z
Tb1 0.000 0.132 0.250
Si1 0.232 0.455 0.325
Si2 0.250 0.250 0.000
Ni1 0.000 0.377 0.750
Ni2 0.000 0.500 0.000
Ni3 0.031 0.332 0.421
Ni4 0.136 0.075 0.931
Ni5 0.142 0.209 0.671
# density of states at the Fermi level	9.200	states/eV/f.u.
# size of the total moment	0.007	μB/cell
# calculated volume	569.8	Å³ per cell
# formation energy from raw total energies	-61.1	kJ/mol of atoms

Entry 2:
# TbSiNi | Alexandria via LeMat-Bulk | GGA-PBEsol | relaxed
data_TbSiNi
_chemical_formula_sum 'Tb4 Si4 Ni4'
_space_group_name_H-M_alt 'P n m a'
_space_group_IT_number 62
_cell_length_a 6.838
_cell_length_b 4.135
_cell_length_c 7.021
_cell_angle_alpha 90.00
_cell_angle_beta 90.00
_cell_angle_gamma 90.00
loop_
_space_group_symop_operation_xyz
'x,y,z'
'-x,-y,-z'
'-x+1/2,-y,z+1/2'
'x+1/2,y,-z+1/2'
'x+1/2,-y+1/2,-z+1/2'
'-x+1/2,y+1/2,z+1/2'
'-x,y+1/2,-z'
'x,-y+1/2,z'
loop_
_atom_site_label
_atom_site_fract_x
_atom_site_fract_y
_atom_site_fract_z
Tb1 0.012 0.250 0.197
Si1 0.187 0.250 0.589
Ni1 0.184 0.750 0.417
# density of states at the Fermi level	2.147	states/eV/f.u.
# size of the total moment	0.000	μB/cell
# calculated volume	198.5	Å³ per cell
# formation energy from raw total energies	-82.4	kJ/mol of atoms

Entry 3:
# TbSiNi4 | Alexandria via LeMat-Bulk | GGA-PBEsol | relaxed
data_TbSiNi4
_chemical_formula_sum 'Tb2 Si2 Ni8'
_space_group_name_H-M_alt 'C m m m'
_space_group_IT_number 65
_space_group_name_Hall '-C 2 2'
_cell_length_a 4.988
_cell_length_b 8.071
_cell_length_c 3.904
_cell_angle_alpha 90.00
_cell_angle_beta 90.00
_cell_angle_gamma 90.00
loop_
_atom_site_label
_atom_site_fract_x
_atom_site_fract_y
_atom_site_fract_z
Tb1 0.000 0.000 0.000
Si1 0.000 0.500 0.500
Ni1 0.000 0.341 0.000
Ni2 0.250 0.250 0.500
# density of states at the Fermi level	3.638	states/eV/f.u.
# size of the total moment	0.000	μB/cell
# calculated volume	157.2	Å³ per cell
# formation energy from raw total energies	-62.4	kJ/mol of atoms

Entry 4:
# Tb3Si2Ni | Alexandria via LeMat-Bulk | GGA-PBEsol | relaxed
data_Tb3Si2Ni
_chemical_formula_sum 'Tb12 Si8 Ni4'
_space_group_name_H-M_alt 'P n m a'
_space_group_IT_number 62
_cell_length_a 11.195
_cell_length_b 4.093
_cell_length_c 11.103
_cell_angle_alpha 90.00
_cell_angle_beta 90.00
_cell_angle_gamma 90.00
loop_
_space_group_symop_operation_xyz
'x,y,z'
'-x,-y,-z'
'-x+1/2,-y,z+1/2'
'x+1/2,y,-z+1/2'
'x+1/2,-y+1/2,-z+1/2'
'-x+1/2,y+1/2,z+1/2'
'-x,y+1/2,-z'
'x,-y+1/2,z'
loop_
_atom_site_label
_atom_site_fract_x
_atom_site_fract_y
_atom_site_fract_z
Tb1 0.058 0.250 0.123
Tb2 0.116 0.750 0.560
Tb3 0.214 0.250 0.803
Si1 0.026 0.750 0.312
Si2 0.199 0.750 0.995
Ni1 0.130 0.250 0.364
# density of states at the Fermi level	4.797	states/eV/f.u.
# size of the total moment	0.001	μB/cell
# calculated volume	508.7	Å³ per cell
# formation energy from raw total energies	-73.4	kJ/mol of atoms

- Which formula does entry 4 have?
  Tb3Si2Ni